DFT (GGA-PBE) results for a geometry-optimized LiTlAuSe2 structure.

abc: 7.793 7.793 5.961
angles: 90.00 90.00 138.16
Positions (direct):
Li  0.250  0.250  0.000
Li  0.750  0.750  0.000
Tl  0.250  0.750  0.718
Tl  0.750  0.250  0.282
Au  0.000  0.000  0.500
Au  0.500  0.500  0.500
Se  0.124  0.876  0.216
Se  0.376  0.624  0.216
Se  0.624  0.376  0.784
Se  0.876  0.124  0.784

Results
Energy relative to the elements, uncorrected = -0.43 eV per atom
SG = Cmme
DFT total energy = -33.35 eV per cell

=====

DFT (GGA-PBE) results for a geometry-optimized LiV2AuSe structure.

abc: 4.697 4.697 4.192
angles: 90.00 90.00 90.00
Positions (direct):
Li  0.000  0.000  0.000
V  0.000  0.500  0.000
V  0.500  0.000  0.000
Au  0.000  0.000  0.500
Se  0.500  0.500  0.500

Results
Energy relative to the elements, uncorrected = 0.86 eV per atom
SG = P4/mmm
DFT total energy = -22.62 eV per cell

=====

DFT (GGA-PBE) results for a geometry-optimized Li4Zr3AuSe8 structure.

abc: 7.747 7.747 7.869
angles: 119.50 119.50 59.95
Positions (direct):
Li  0.000  0.000  0.000
Li  0.000  0.500  0.000
Li  0.500  0.000  0.000
Li  0.500  0.500  0.000
Zr  0.000  0.000  0.500
Zr  0.000  0.500  0.500
Zr  0.500  0.000  0.500
Au  0.500  0.500  0.500
Se  0.239  0.755  0.749
Se  0.245  0.245  0.251
Se  0.245  0.761  0.251
Se  0.250  0.250  0.749
Se  0.750  0.750  0.251
Se  0.755  0.239  0.749
Se  0.755  0.755  0.749
Se  0.761  0.245  0.251

Results
Energy relative to the elements, uncorrected = -1.12 eV per atom
SG = C2/m
DFT total energy = -82.33 eV per cell

=====

DFT (GGA-PBE) results for a geometry-optimized LiZrAu2Se structure.

abc: 4.321 4.321 5.273
angles: 90.00 90.00 90.00
Positions (direct):
Li  0.000  0.000  0.000
Zr  0.000  0.000  0.500
Au  0.000  0.500  0.000
Au  0.500  0.000  0.000
Se  0.500  0.500  0.500

Results
Energy relative to the elements, uncorrected = 0.20 eV per atom
SG = P4/mmm
DFT total energy = -19.51 eV per cell

=====

DFT (GGA-PBE) results for a geometry-optimized LiSiAu2 structure.

abc: 3.323 3.323 5.805
angles: 90.23 90.23 90.00
Positions (direct):
Li  0.000  0.000  0.000
Si  0.000  0.000  0.500
Au  0.497  0.497  0.753
Au  0.503  0.503  0.247

Results
Energy relative to the elements, uncorrected = -0.20 eV per atom
SG = C2/m
DFT total energy = -14.67 eV per cell

=====

DFT (GGA-PBE) results for a geometry-optimized Li4SiAu7 structure.

abc: 5.601 5.601 9.581
angles: 111.30 111.30 51.45
Positions (direct):
Li  0.108  0.108  0.271
Li  0.342  0.342  0.881
Li  0.658  0.658  0.119
Li  0.892  0.892  0.729
Si  0.500  0.500  0.500
Au  0.000  0.000  0.500
Au  0.135  0.135  0.993
Au  0.293  0.293  0.585
Au  0.416  0.416  0.208
Au  0.584  0.584  0.792
Au  0.707  0.707  0.415
Au  0.865  0.865  0.007

Results
Energy relative to the elements, uncorrected = -0.30 eV per atom
SG = C2/m
DFT total energy = -39.66 eV per cell

=====

DFT (GGA-PBE) results for a geometry-optimized LiSiAu2 structure.

abc: 8.954 8.954 8.954
angles: 18.91 18.91 18.91
Positions (direct):
Li  0.000  0.000  0.000
Si  0.500  0.500  0.500
Au  0.250  0.250  0.250
Au  0.750  0.750  0.750

Results
Energy relative to the elements, uncorrected = -0.10 eV per atom
SG = R-3m
DFT total energy = -14.27 eV per cell

=====

DFT (GGA-PBE) results for a geometry-optimized LiSiAu2 structure.

abc: 4.760 4.760 4.320
angles: 103.99 103.99 42.08
Positions (direct):
Li  0.000  0.000  0.000
Si  0.766  0.766  0.343
Au  0.261  0.261  0.847
Au  0.500  0.500  0.484

Results
Energy relative to the elements, uncorrected = -0.25 eV per atom
SG = Cm
DFT total energy = -14.90 eV per cell

=====

Which total magnetic moment belongs to each record? In order, 0.00; 6.26; 0.00; 0.00; 0.00; 0.00; 0.00; 0.00 Bohr magnetons per cell.